DFT (PBE-GGA) results for crystalline NdAsHPd2 at its relaxed geometry.

Geometry as POSCAR:
```
NdAsHPd2
1.0
-3.7181 1.7526 0.0898
-0.2481 -5.4479 1.9290
1.2873 2.3784 6.8829
H As Nd Pd
2 2 2 4
direct
0.0000 0.0000 0.5000
0.0000 0.0000 0.0000
0.7226 0.4453 0.7500
0.2774 0.5547 0.2500
0.4391 0.8782 0.7500
0.5609 0.1218 0.2500
0.8427 0.6853 0.4446
0.1573 0.3147 0.5554
0.1573 0.3147 0.9446
0.8427 0.6853 0.0554
```

Computed properties:
- Size of the total moment: 0.00 μB per cell
- E_tot: -5.414 eV per atom